GGA-PBE SmMg2Sn, relaxed; E above lowest polymorph = 203 meV/atom; V = 26.19 Å³/atom; DOS at the Fermi energy = 0.6338 states/eV/atom; density = 5.036 g/cm3
1.0
-2.214 2.458 3.808
2.093 -1.665 2.292
3.380 4.802 -1.134
Sm Mg Sn
1 2 1
Direct
0.500 0.500 0.000 Sm
0.000 0.113 0.256 Mg
0.000 0.887 0.744 Mg
0.500 0.000 0.500 Sn